# 1
# Ac5Pm5Er2 (PBE, optimized geometry)
data_Ac5Pm5Er2
_cell_length_a 15.9300
_cell_length_b 5.3372
_cell_length_c 11.9422
_cell_angle_alpha 90.00
_cell_angle_beta 116.35
_cell_angle_gamma 90.00
_symmetry_space_group_name_H-M 'C 1 2/m 1'
_symmetry_Int_Tables_number 12
loop_
_symmetry_equiv_pos_as_xyz
'x,y,z'
'-x,-y,-z'
'-x,y,-z'
'x,-y,z'
'x+1/2,y+1/2,z'
'-x+1/2,-y+1/2,-z'
'-x+1/2,y+1/2,-z'
'x+1/2,-y+1/2,z'
loop_
_atom_site_label
_atom_site_fract_x
_atom_site_fract_y
_atom_site_fract_z
Ac1 0.0000 0.0000 0.0000
Ac2 0.1599 0.0000 0.4957
Ac3 0.2464 0.5000 0.7526
Pm1 0.0000 0.5000 0.5000
Pm2 0.0782 0.5000 0.2477
Pm3 0.1683 0.5000 0.0003
Er1 0.0843 0.0000 0.7579
# - ΔH_f (0 K): 0.049 eV per atom
# - Mass density: 8.01 g/cm³

# 2
# Ac9Pm2Er (PBE, optimized geometry)
data_Ac9Pm2Er
_cell_length_a 5.5042
_cell_length_b 5.5042
_cell_length_c 16.5365
_cell_angle_alpha 90.00
_cell_angle_beta 90.00
_cell_angle_gamma 90.00
_symmetry_space_group_name_H-M 'P 4/m m m'
_symmetry_Int_Tables_number 123
_symmetry_space_group_name_Hall '-P 4 2'
loop_
_atom_site_label
_atom_site_fract_x
_atom_site_fract_y
_atom_site_fract_z
Ac1 0.0000 0.0000 0.0000
Ac2 0.0000 0.0000 0.3327
Ac3 0.0000 0.5000 0.1650
Ac4 0.0000 0.5000 0.5000
Pm1 0.5000 0.5000 0.3323
Er1 0.5000 0.5000 0.0000
# - ΔH_f (0 K): 0.029 eV per atom
# - Mass density: 8.29 g/cm³

# 3
# AcPm3Er4 (PBE, optimized geometry)
data_AcPm3Er4
_cell_length_a 6.2691
_cell_length_b 3.6443
_cell_length_c 11.8594
_cell_angle_alpha 90.00
_cell_angle_beta 100.35
_cell_angle_gamma 90.00
_symmetry_space_group_name_H-M 'P 1 2/m 1'
_symmetry_Int_Tables_number 10
loop_
_symmetry_equiv_pos_as_xyz
'x,y,z'
'-x,-y,-z'
'-x,y,-z'
'x,-y,z'
loop_
_atom_site_label
_atom_site_fract_x
_atom_site_fract_y
_atom_site_fract_z
Ac1 0.0000 0.0000 0.0000
Pm1 0.0000 0.5000 0.5000
Pm2 0.5000 0.0000 0.5000
Pm3 0.5000 0.5000 0.0000
Er1 0.2507 0.0000 0.7470
Er2 0.2538 0.5000 0.2549
# - ΔH_f (0 K): 0.033 eV per atom
# - Mass density: 8.29 g/cm³

# 4
# Ac15Pm4Er (PBE, optimized geometry)
data_Ac15Pm4Er
_cell_length_a 5.5246
_cell_length_b 5.5246
_cell_length_c 27.4968
_cell_angle_alpha 90.00
_cell_angle_beta 90.00
_cell_angle_gamma 90.00
_symmetry_space_group_name_H-M 'P 4/m m m'
_symmetry_Int_Tables_number 123
_symmetry_space_group_name_Hall '-P 4 2'
loop_
_atom_site_label
_atom_site_fract_x
_atom_site_fract_y
_atom_site_fract_z
Ac1 0.0000 0.0000 0.0000
Ac2 0.0000 0.0000 0.1991
Ac3 0.0000 0.0000 0.3998
Ac4 0.0000 0.5000 0.0988
Ac5 0.0000 0.5000 0.2994
Ac6 0.0000 0.5000 0.5000
Pm1 0.5000 0.5000 0.1990
Pm2 0.5000 0.5000 0.3998
Er1 0.5000 0.5000 0.0000
# - ΔH_f (0 K): 0.029 eV per atom
# - Mass density: 8.22 g/cm³

# 5
# Ac8Pm5Er (PBE, optimized geometry)
data_Ac8Pm5Er
_cell_length_a 7.5973
_cell_length_b 9.2163
_cell_length_c 9.5074
_cell_angle_alpha 114.06
_cell_angle_beta 101.50
_cell_angle_gamma 102.03
_symmetry_space_group_name_H-M 'P 1'
_symmetry_Int_Tables_number 1
loop_
_symmetry_equiv_pos_as_xyz
'x,y,z'
loop_
_atom_site_label
_atom_site_fract_x
_atom_site_fract_y
_atom_site_fract_z
Ac1 0.0000 0.0000 0.0000
Ac2 0.0765 0.7231 0.5858
Ac3 0.2755 0.8400 0.2702
Ac4 0.3530 0.5743 0.8626
Ac5 0.4739 0.1733 0.7328
Ac6 0.5737 0.7213 0.5880
Ac7 0.6798 0.2886 0.4249
Ac8 0.7757 0.8387 0.2717
Pm1 0.1774 0.2887 0.4270
Pm2 0.5012 0.0039 0.0070
Pm3 0.8555 0.5688 0.8602
Pm4 0.8848 0.3991 0.1325
Pm5 0.9734 0.1774 0.7257
Er1 0.3820 0.3978 0.1396
# - ΔH_f (0 K): 0.062 eV per atom
# - Mass density: 7.98 g/cm³

# 6
# AcPmEr (PBE, optimized geometry)
data_AcPmEr
_cell_length_a 5.9028
_cell_length_b 5.9028
_cell_length_c 3.6014
_cell_angle_alpha 90.00
_cell_angle_beta 90.00
_cell_angle_gamma 120.00
_symmetry_space_group_name_H-M 'P 3 m 1'
_symmetry_Int_Tables_number 156
loop_
_symmetry_equiv_pos_as_xyz
'x,y,z'
'-y,x-y,z'
'-x+y,-x,z'
'-y,-x,z'
'-x+y,y,z'
'x,x-y,z'
loop_
_atom_site_label
_atom_site_fract_x
_atom_site_fract_y
_atom_site_fract_z
Ac1 0.0000 0.0000 0.0000
Pm1 0.6667 0.3333 0.4990
Er1 0.3333 0.6667 0.9968
# - ΔH_f (0 K): 0.131 eV per atom
# - Energy relative to the lowest polymorph listed for this composition: 75.3 meV per atom
# - Mass density: 8.24 g/cm³

# 7
# Ac2Pm7Er (PBE, optimized geometry)
data_Ac2Pm7Er
_cell_length_a 12.2575
_cell_length_b 17.4405
_cell_length_c 3.6250
_cell_angle_alpha 90.00
_cell_angle_beta 90.00
_cell_angle_gamma 90.00
_symmetry_space_group_name_H-M 'C m m m'
_symmetry_Int_Tables_number 65
_symmetry_space_group_name_Hall '-C 2 2'
loop_
_atom_site_label
_atom_site_fract_x
_atom_site_fract_y
_atom_site_fract_z
Ac1 0.0000 0.1751 0.0000
Pm1 0.0000 0.3377 0.5000
Pm2 0.0000 0.5000 0.0000
Pm3 0.2415 0.3862 0.0000
Er1 0.0000 0.0000 0.5000
# - ΔH_f (0 K): 0.445 eV per atom
# - Mass density: 7.01 g/cm³

# 8
# AcPm10Er4 (PBE, optimized geometry)
data_AcPm10Er4
_cell_length_a 12.7340
_cell_length_b 12.7340
_cell_length_c 6.8880
_cell_angle_alpha 90.00
_cell_angle_beta 90.00
_cell_angle_gamma 90.00
_symmetry_space_group_name_H-M 'I 4/m'
_symmetry_Int_Tables_number 87
_symmetry_space_group_name_Hall '-I 4'
loop_
_atom_site_label
_atom_site_fract_x
_atom_site_fract_y
_atom_site_fract_z
Ac1 0.0000 0.0000 0.0000
Pm1 0.0000 0.5000 0.2500
Pm2 0.1287 0.2902 0.2475
Er1 0.0676 0.8214 0.5000
# - ΔH_f (0 K): 0.487 eV per atom
# - Mass density: 6.98 g/cm³

# 9
# Ac2PmEr3 (PBE, optimized geometry)
data_Ac2PmEr3
_cell_length_a 16.2123
_cell_length_b 7.5533
_cell_length_c 7.4539
_cell_angle_alpha 90.00
_cell_angle_beta 103.28
_cell_angle_gamma 90.00
_symmetry_space_group_name_H-M 'C 1 2/c 1'
_symmetry_Int_Tables_number 15
loop_
_symmetry_equiv_pos_as_xyz
'x,y,z'
'-x,-y,-z'
'-x,y,-z+1/2'
'x,-y,z+1/2'
'x+1/2,y+1/2,z'
'-x+1/2,-y+1/2,-z'
'-x+1/2,y+1/2,-z+1/2'
'x+1/2,-y+1/2,z+1/2'
loop_
_atom_site_label
_atom_site_fract_x
_atom_site_fract_y
_atom_site_fract_z
Ac1 0.1833 0.0042 0.0922
Pm1 0.0000 0.2100 0.7500
Er1 0.0000 0.2141 0.2500
Er2 0.1148 0.4984 0.5572
# - ΔH_f (0 K): 0.140 eV per atom
# - Mass density: 8.23 g/cm³

# 10
# Ac4Pm6Er (PBE, optimized geometry)
data_Ac4Pm6Er
_cell_length_a 7.1491
_cell_length_b 7.1491
_cell_length_c 16.7519
_cell_angle_alpha 90.00
_cell_angle_beta 90.00
_cell_angle_gamma 90.00
_symmetry_space_group_name_H-M 'I -4 2 m'
_symmetry_Int_Tables_number 121
_symmetry_space_group_name_Hall 'I -4 2'
loop_
_atom_site_label
_atom_site_fract_x
_atom_site_fract_y
_atom_site_fract_z
Ac1 0.1946 0.1946 0.1795
Pm1 0.0000 0.5000 0.0000
Pm2 0.1700 0.1700 0.3981
Er1 0.0000 0.0000 0.0000
# - ΔH_f (0 K): 0.252 eV per atom
# - Mass density: 7.55 g/cm³

# 11
# Ac2Pm8Er (PBE, optimized geometry)
data_Ac2Pm8Er
_cell_length_a 16.8007
_cell_length_b 6.9139
_cell_length_c 7.0275
_cell_angle_alpha 90.00
_cell_angle_beta 101.09
_cell_angle_gamma 90.00
_symmetry_space_group_name_H-M 'C 1 2/m 1'
_symmetry_Int_Tables_number 12
loop_
_symmetry_equiv_pos_as_xyz
'x,y,z'
'-x,-y,-z'
'-x,y,-z'
'x,-y,z'
'x+1/2,y+1/2,z'
'-x+1/2,-y+1/2,-z'
'-x+1/2,y+1/2,-z'
'x+1/2,-y+1/2,z'
loop_
_atom_site_label
_atom_site_fract_x
_atom_site_fract_y
_atom_site_fract_z
Ac1 0.1966 0.0000 0.3090
Pm1 0.0849 0.2641 0.8959
Pm2 0.0874 0.5000 0.4079
Pm3 0.2442 0.0000 0.8204
Er1 0.0000 0.0000 0.5000
# - ΔH_f (0 K): 0.148 eV per atom
# - Energy relative to the lowest polymorph listed for this composition: 0.0 meV per atom
# - Mass density: 7.38 g/cm³

# 12
# Ac3Pm8Er (PBE, optimized geometry)
data_Ac3Pm8Er
_cell_length_a 9.1948
_cell_length_b 9.1948
_cell_length_c 11.6183
_cell_angle_alpha 90.00
_cell_angle_beta 90.00
_cell_angle_gamma 90.00
_symmetry_space_group_name_H-M 'I -4 2 m'
_symmetry_Int_Tables_number 121
_symmetry_space_group_name_Hall 'I -4 2'
loop_
_atom_site_label
_atom_site_fract_x
_atom_site_fract_y
_atom_site_fract_z
Ac1 0.0000 0.0000 0.0000
Ac2 0.0000 0.5000 0.2500
Pm1 0.1229 0.1229 0.7396
Pm2 0.2332 0.2332 0.4720
Er1 0.0000 0.0000 0.5000
# - ΔH_f (0 K): 0.531 eV per atom
# - Mass density: 6.79 g/cm³